[1]
Below is a geometry-optimized RbYGaTe3 structure, with properties calculated at the GGA-PBE level.

Cell lengths 9.887, 4.542, 10.854 Å; angles 90.00, 106.65, 90.00 degrees
Positions (direct):
Rb 0.198 0.250 0.242
Rb 0.802 0.750 0.758
Y 0.343 0.750 0.870
Y 0.657 0.250 0.130
Ga 0.076 0.250 0.614
Ga 0.924 0.750 0.386
Te 0.126 0.250 0.875
Te 0.216 0.750 0.559
Te 0.456 0.750 0.163
Te 0.544 0.250 0.837
Te 0.784 0.250 0.441
Te 0.874 0.750 0.125

Calculated values
- uncorrected formation energy (kcal/mol of atoms) = -22.3
- total magnetization (μB per cell) = 0.000
- space-group type = P2_1/m (11)



[2]
Below is a geometry-optimized ErCd2TeO6 structure, with properties calculated at the GGA-PBE level.

Cell lengths 5.678, 5.678, 4.748 Å; angles 90.00, 90.00, 90.00 degrees
Positions (direct):
Er 0.000 0.000 0.000
Cd 0.000 0.500 0.418
Cd 0.500 0.000 0.418
Te 0.500 0.500 0.011
O 0.000 0.000 0.558
O 0.266 0.266 0.129
O 0.266 0.734 0.129
O 0.500 0.500 0.613
O 0.734 0.266 0.129
O 0.734 0.734 0.129

Calculated values
- uncorrected formation energy (kcal/mol of atoms) = -32.8
- total magnetization (μB per cell) = 0.000
- space-group type = P4mm (99)



[3]
Below is a geometry-optimized PIr2Os structure, with properties calculated at the GGA-PBE level.

Cell lengths 2.761, 4.556, 4.556 Å; angles 90.00, 90.00, 90.00 degrees
Positions (direct):
P 0.000 0.000 0.000
Ir 0.000 0.500 0.500
Ir 0.500 0.500 0.000
Os 0.500 0.000 0.500

Calculated values
- total magnetization (μB per cell) = 0.000
- formation energy from the elements (kJ/mol of formula units) = 151.6
- space-group type = Pmmm (47)



[4]
Below is a geometry-optimized AcPr2DyY5 structure, with properties calculated at the GGA-PBE level.

Cell lengths 10.140, 10.140, 10.140 Å; angles 128.52, 128.52, 75.78 degrees
Positions (direct):
Ac 0.250 0.750 0.500
Ac 0.750 0.250 0.500
Pr 0.116 0.616 0.733
Pr 0.384 0.116 0.500
Pr 0.616 0.884 0.500
Pr 0.884 0.384 0.267
Dy 0.250 0.250 0.000
Dy 0.750 0.750 0.000
Y 0.000 0.000 0.000
Y 0.078 0.152 0.500
Y 0.152 0.652 0.074
Y 0.348 0.422 0.500
Y 0.422 0.922 0.074
Y 0.500 0.500 0.000
Y 0.578 0.078 0.926
Y 0.652 0.578 0.500
Y 0.848 0.348 0.926
Y 0.922 0.848 0.500

Calculated values
- total magnetization (μB per cell) = 0.000
- formation energy from the elements (kJ/mol of formula units) = 226.3
- space-group type = I4/mcm (140)



[5]
Below is a geometry-optimized Tl5SbS structure, with properties calculated at the GGA-PBE level.

Cell lengths 8.334, 3.980, 13.825 Å; angles 90.00, 90.30, 90.00 degrees
Positions (direct):
Tl 0.048 0.250 0.301
Tl 0.163 0.750 0.921
Tl 0.270 0.750 0.502
Tl 0.304 0.250 0.716
Tl 0.370 0.250 0.112
Tl 0.630 0.750 0.888
Tl 0.696 0.750 0.284
Tl 0.730 0.250 0.498
Tl 0.837 0.250 0.079
Tl 0.952 0.750 0.699
Sb 0.420 0.250 0.345
Sb 0.580 0.750 0.655
S 0.099 0.750 0.132
S 0.901 0.250 0.868

Calculated values
- uncorrected formation energy (kcal/mol of atoms) = -2.3
- total magnetization (μB per cell) = 0.000
- space-group type = P2_1/m (11)



[6]
Below is a geometry-optimized TlCdO2F structure, with properties calculated at the GGA-PBE level.

Cell lengths 4.299, 4.299, 4.400 Å; angles 90.00, 90.00, 90.00 degrees
Positions (direct):
Tl 0.000 0.000 0.000
Cd 0.500 0.500 0.500
O 0.000 0.500 0.000
O 0.500 0.000 0.000
F 0.000 0.000 0.500

Calculated values
- uncorrected formation energy (kcal/mol of atoms) = -14.0
- total magnetization (μB per cell) = 0.000
- space-group type = P4/mmm (123)



| no. | Fermi-level density of states (states/eV/atom) | V (Å³/atom) |
| --- | --- | --- |
| 1 | 0.246 | 38.91 |
| 2 | 0.155 | 15.30 |
| 3 | 1.038 | 14.33 |
| 4 | 1.125 | 34.48 |
| 5 | 0.228 | 32.75 |
| 6 | 0.242 | 16.26 |